Crystalline HoCdHg2 at its relaxed geometry. Source: Alexandria, functional PBE.

Values from the calculation:
As for the formation enthalpy at 0 K: -1.39 eV per formula unit.

```
data_HoCdHg2
_cell_length_a 7.1961
_cell_length_b 7.1961
_cell_length_c 7.1961
_cell_angle_alpha 90.00
_cell_angle_beta 90.00
_cell_angle_gamma 90.00
_space_group_name_H-M_alt 'F m -3 m'
_space_group_IT_number 225
_space_group_name_Hall '-F 4 2 3'
loop_
_atom_site_label
_atom_site_type_symbol
_atom_site_fract_x
_atom_site_fract_y
_atom_site_fract_z
Ho1 Ho 0.0000 0.0000 0.0000
Cd1 Cd 0.0000 0.0000 0.5000
Hg1 Hg 0.2500 0.2500 0.2500
```